[1]
Material: CrRe4Hg
Method: DFT, GGA-PBE
State: optimized geometry

Calculated values
Space group: F-43m
VASP energy: -9.282 eV per atom
E_form: 0.67 eV/atom

Lattice parameters (Å, degrees): 5.217 5.217 5.217 60.00 60.00 60.00
Fractional positions:
Cr: 0.000 0.000 0.000
Re: 0.375 0.375 0.375
Re: 0.375 0.375 0.875
Re: 0.375 0.875 0.375
Re: 0.875 0.375 0.375
Hg: 0.750 0.750 0.750


[2]
Material: Cr3ReHg
Method: DFT, GGA-PBE
State: optimized geometry

Calculated values
Space group: Pm-3m
VASP energy: -7.038 eV per atom
E_form: 1.29 eV/atom
Distance to the lowest polymorph of the same formula: 0 meV per atom

Lattice parameters (Å, degrees): 4.704 4.704 4.704 90.00 90.00 90.00
Fractional positions:
Cr: 0.000 0.000 0.500
Cr: 0.000 0.500 0.000
Cr: 0.500 0.000 0.000
Re: 0.000 0.000 0.000
Hg: 0.500 0.500 0.500


- What is the VASP energy in the first record?
  -9.282 eV per atom


- VASP energy of number 1 (CrRe4Hg)?
  -9.282 eV per atom